KAu2Se2 | PBE | optimized geometry

Geometry as POSCAR:
```
KAu2Se2
1.0
5.441 1.399 0.648
1.513 5.410 0.648
0.690 0.675 6.450
K Se Au
1 2 2
Direct
0.000 0.000 0.000
0.294 0.294 0.180
0.706 0.706 0.820
0.500 0.000 0.500
0.000 0.500 0.500
```

Calculated values
Energy relative to the elements, uncorrected, eV/atom: -0.385
Space-group type: C2/m (12)
V, Å³ per cell: 172.7

---

PRuAuO2 | PBE | optimized geometry

Geometry as POSCAR:
```
PRuAuO2
1.0
-3.299 -1.860 -0.964
2.063 -2.569 -2.102
0.484 -3.015 4.161
Ru Au O P
1 1 2 1
Direct
0.500 0.500 0.500
0.000 0.000 0.000
0.000 0.500 0.000
0.500 0.000 0.000
0.000 0.000 0.500
```

Calculated values
Energy relative to the elements, uncorrected, eV/atom: 1.006
Space-group type: P4/mmm (123)
V, Å³ per cell: 78.8

---

CaY3Sn | PBE | optimized geometry

Geometry as POSCAR:
```
CaY3Sn
1.0
5.497 0.000 0.000
0.000 5.497 0.000
0.000 0.000 5.497
Y Ca Sn
3 1 1
Direct
0.000 0.500 0.000
0.500 0.000 0.000
0.000 0.000 0.500
0.000 0.000 0.000
0.500 0.500 0.500
```

Calculated values
Space-group type: Pm-3m (221)
Calculated formation energy, meV per atom: 839
V, Å³ per cell: 166.1

---

ScHg2Cl | PBE | optimized geometry

Geometry as POSCAR:
```
ScHg2Cl
1.0
-4.518 6.867 3.530
-3.735 4.962 6.438
-1.338 7.230 5.095
Hg Cl Sc
2 1 1
Direct
0.500 0.500 0.500
0.000 0.000 0.000
0.750 0.750 0.750
0.250 0.250 0.250
```

Calculated values
Energy relative to the elements, uncorrected, eV/atom: -0.352
Space-group type: R-3m (166)
V, Å³ per cell: 95.7

---

Result set for energy above the lowest structure with this stoichiometry: 16.8 1283.6 756.5 352.5 meV per atom, one per record in the order listed.